First-principles (PBE) data for Pm2SmPt after structural relaxation, as listed in Alexandria via LeMat-Bulk.

The space group is R3m. For the formation energy, the calculation gives -10.74 kcal/mol of atoms. Its spin magnetization is 0.00 μB per formula unit. The calculation puts the energy above the most stable polymorph in this dataset at 178 meV per atom. The raw total energy comes out at -5.531 eV per atom.

Cell lengths 4.0059, 4.0059, 9.5455 Å; angles 77.89, 77.89, 60.00 degrees
Last column: nearest neighbours and their distance in Å.
Fractional positions:
Pt: 0.6660 0.6660 0.0021  6 Pm 2.86-2.88
Sm: 0.5010 0.5010 0.4969  6 Pm 3.70-3.76, 6 Sm 4.01
Pm: 0.2718 0.2718 0.1846  3 Pt 2.86
Pm: 0.0612 0.0612 0.8164  3 Pt 2.88